{
  "formula": "ZnCrPd2",
  "functional": "GGA-PBE",
  "state": "optimized geometry",
  "crystal_system": "tetragonal",
  "lattice": [[2.7670, 0.0000, 0.0000], [0.0000, 2.7670, 0.0000], [0.0000, 0.0000, 7.3514]],
  "species": ["Cr", "Zn", "Pd", "Pd"],
  "fractional_positions": [[0.5000, 0.5000, 0.5000], [0.5000, 0.5000, 0.0000], [0.0000, 0.0000, 0.7468], [0.0000, 0.0000, 0.2532]]
}

{
  "formula": "ZnCr2Pd9",
  "functional": "GGA-PBE",
  "state": "optimized geometry",
  "crystal_system": "tetragonal",
  "lattice": [[-1.2762, -3.6882, 0.0921], [0.9927, -0.2494, 3.7672], [-10.6985, 3.7786, 3.0692]],
  "species": ["Zn", "Cr", "Cr", "Pd", "Pd", "Pd", "Pd", "Pd", "Pd", "Pd", "Pd", "Pd"],
  "fractional_positions": [[0.0000, 0.0000, 0.0000], [0.0000, 0.0000, 0.3328], [0.0000, 0.0000, 0.6672], [0.5000, 0.5000, 0.0000], [0.5000, 0.5000, 0.3343], [0.5000, 0.5000, 0.6657], [0.5000, 0.0000, 0.1685], [0.5000, 0.0000, 0.5000], [0.5000, 0.0000, 0.8315], [0.0000, 0.5000, 0.1685], [0.0000, 0.5000, 0.5000], [0.0000, 0.5000, 0.8315]]
}

What raw total energy values result from the calculations? In sequence: -5.478 -5.763 eV/atom.